Material: MgNiAg2
Method: DFT, GGA-PBEsol
State: relaxed

Cell lengths 8.970, 8.970, 8.970 Å; angles 18.26, 18.26, 18.26 degrees
Element x y z (fractional)
Mg  0.000  0.000  0.000
Ni  0.500  0.500  0.500
Ag  0.245  0.245  0.245
Ag  0.755  0.755  0.755

Computed properties:
ΔH_f (0 K)   0.139 eV/atom

Material: SrAgPCl2
Method: DFT, GGA-PBEsol
State: relaxed

Cell lengths 5.035, 5.035, 4.853 Å; angles 90.00, 90.00, 90.00 degrees
Element x y z (fractional)
Sr  0.000  0.000  0.000
Ag  0.500  0.500  0.500
P  0.500  0.500  0.000
Cl  0.000  0.500  0.500
Cl  0.500  0.000  0.500

Computed properties:
Uncorrected formation energy   -0.624 eV/atom

Material: CoP2
Method: DFT, GGA-PBEsol
State: relaxed

Cell lengths 5.475, 5.483, 5.553 Å; angles 90.00, 114.68, 90.00 degrees
Element x y z (fractional)
Co  0.228  0.001  0.210
Co  0.228  0.499  0.710
Co  0.772  0.501  0.290
Co  0.772  0.999  0.790
P  0.160  0.130  0.817
P  0.160  0.370  0.317
P  0.343  0.629  0.130
P  0.343  0.871  0.630
P  0.657  0.129  0.370
P  0.657  0.371  0.870
P  0.840  0.630  0.683
P  0.840  0.870  0.183

Computed properties:
ΔH_f (0 K)   -0.643 eV/atom

Material: MnTlSi
Method: DFT, GGA-PBEsol
State: relaxed

Cell lengths 4.502, 4.502, 4.502 Å; angles 60.00, 60.00, 60.00 degrees
Element x y z (fractional)
Mn  0.000  0.000  0.000
Tl  0.750  0.750  0.750
Si  0.500  0.500  0.500

Computed properties:
Uncorrected formation energy   0.946 eV/atom

Material: Tc2HgRu
Method: DFT, GGA-PBEsol
State: relaxed

Cell lengths 9.302, 9.302, 9.302 Å; angles 17.06, 17.06, 17.06 degrees
Element x y z (fractional)
Tc  0.243  0.243  0.243
Tc  0.757  0.757  0.757
Hg  0.000  0.000  0.000
Ru  0.500  0.500  0.500

Computed properties:
ΔH_f (0 K)   0.324 eV/atom

Material: K2InOs
Method: DFT, GGA-PBEsol
State: relaxed

Cell lengths 3.102, 4.233, 9.943 Å; angles 90.00, 90.00, 90.00 degrees
Element x y z (fractional)
K  0.000  0.000  0.000
K  0.500  0.500  0.414
In  0.500  0.500  0.730
Os  0.000  0.000  0.682

Computed properties:
ΔH_f (0 K)   0.634 eV/atom

Material: TmCO4
Method: DFT, GGA-PBEsol
State: relaxed

Cell lengths 4.679, 7.030, 8.707 Å; angles 90.00, 90.00, 90.00 degrees
Element x y z (fractional)
Tm  0.035  0.144  0.169
Tm  0.465  0.856  0.669
Tm  0.535  0.356  0.831
Tm  0.965  0.644  0.331
C  0.017  0.035  0.841
C  0.483  0.965  0.341
C  0.517  0.465  0.159
C  0.983  0.535  0.659
O  0.026  0.837  0.143
O  0.048  0.424  0.769
O  0.165  0.621  0.572
O  0.211  0.939  0.370
O  0.289  0.061  0.870
O  0.335  0.379  0.072
O  0.452  0.576  0.269
O  0.474  0.163  0.643
O  0.526  0.663  0.857
O  0.548  0.076  0.231
O  0.665  0.879  0.428
O  0.711  0.561  0.630
O  0.789  0.439  0.130
O  0.835  0.121  0.928
O  0.952  0.924  0.731
O  0.974  0.337  0.357

Computed properties:
ΔE to the lowest computed polymorph   0.026 eV per atom
Uncorrected formation energy   -2.044 eV/atom

Material: InFe3Pt
Method: DFT, GGA-PBEsol
State: relaxed

Cell lengths 4.572, 4.572, 4.572 Å; angles 90.00, 90.00, 90.00 degrees
Element x y z (fractional)
In  0.000  0.000  0.000
Fe  0.000  0.000  0.500
Fe  0.000  0.500  0.000
Fe  0.500  0.000  0.000
Pt  0.500  0.500  0.500

Computed properties:
ΔH_f (0 K)   1.848 eV/atom

Material: KBi2S2
Method: DFT, GGA-PBEsol
State: relaxed

Cell lengths 6.261, 6.261, 6.261 Å; angles 127.93, 127.93, 76.74 degrees
Element x y z (fractional)
K  0.000  0.000  0.000
Bi  0.341  0.341  0.000
Bi  0.659  0.659  0.000
S  0.250  0.750  0.500
S  0.750  0.250  0.500

Computed properties:
Uncorrected formation energy   -0.336 eV/atom

Material: NiMo2W
Method: DFT, GGA-PBEsol
State: relaxed

Cell lengths 2.655, 2.655, 8.363 Å; angles 90.00, 90.00, 105.27 degrees
Element x y z (fractional)
Ni  0.000  0.000  0.000
Mo  0.500  0.500  0.232
Mo  0.500  0.500  0.768
W  0.000  0.000  0.500

Computed properties:
ΔE to the lowest computed polymorph   0.000 eV per atom
ΔH_f (0 K)   0.052 eV/atom

Material: CsTiAsO5
Method: DFT, GGA-PBEsol
State: relaxed

Cell lengths 13.477, 6.851, 10.738 Å; angles 90.00, 90.00, 90.00 degrees
Element x y z (fractional)
Cs  0.111  0.193  0.000
Cs  0.115  0.785  0.757
Cs  0.385  0.285  0.257
Cs  0.389  0.693  0.500
Cs  0.611  0.307  0.000
Cs  0.615  0.715  0.757
Cs  0.885  0.215  0.257
Cs  0.889  0.807  0.500
Ti  0.129  0.502  0.423
Ti  0.247  0.760  0.172
Ti  0.253  0.260  0.672
Ti  0.371  0.002  0.923
Ti  0.629  0.998  0.423
Ti  0.747  0.740  0.172
Ti  0.753  0.240  0.672
Ti  0.871  0.498  0.923
As  0.000  0.330  0.675
As  0.000  0.670  0.175
As  0.177  0.005  0.428
As  0.323  0.505  0.928
As  0.500  0.170  0.675
As  0.500  0.830  0.175
As  0.677  0.495  0.428
As  0.823  0.995  0.928
O  0.014  0.538  0.309
O  0.015  0.488  0.555
O  0.102  0.816  0.151
O  0.105  0.193  0.699
O  0.108  0.207  0.392
O  0.111  0.802  0.467
O  0.216  0.441  0.553
O  0.216  0.567  0.305
O  0.243  0.547  0.051
O  0.246  0.458  0.804
O  0.254  0.958  0.304
O  0.257  0.047  0.551
O  0.284  0.067  0.805
O  0.284  0.941  0.053
O  0.389  0.302  0.967
O  0.392  0.707  0.892
O  0.395  0.693  0.199
O  0.398  0.316  0.651
O  0.485  0.988  0.055
O  0.486  0.038  0.809
O  0.514  0.962  0.309
O  0.515  0.012  0.555
O  0.602  0.684  0.151
O  0.605  0.307  0.699
O  0.608  0.293  0.392
O  0.611  0.698  0.467
O  0.716  0.059  0.553
O  0.716  0.933  0.305
O  0.743  0.953  0.051
O  0.746  0.042  0.804
O  0.754  0.542  0.304
O  0.757  0.453  0.551
O  0.784  0.433  0.805
O  0.784  0.559  0.053
O  0.889  0.198  0.967
O  0.892  0.793  0.892
O  0.895  0.807  0.199
O  0.898  0.184  0.651
O  0.985  0.512  0.055
O  0.986  0.462  0.809

Computed properties:
Uncorrected formation energy   -2.132 eV/atom

Material: NbOsIN2
Method: DFT, GGA-PBEsol
State: relaxed

Cell lengths 3.963, 3.963, 5.818 Å; angles 90.00, 90.00, 90.00 degrees
Element x y z (fractional)
Nb  0.000  0.000  0.000
Os  0.500  0.500  0.500
I  0.000  0.000  0.500
N  0.000  0.500  0.000
N  0.500  0.000  0.000

Computed properties:
Uncorrected formation energy   1.392 eV/atom

Material: LaTcN2O
Method: DFT, GGA-PBEsol
State: relaxed

Cell lengths 3.853, 3.853, 4.041 Å; angles 90.00, 90.00, 90.00 degrees
Element x y z (fractional)
La  0.000  0.000  0.000
Tc  0.500  0.500  0.500
N  0.000  0.500  0.500
N  0.500  0.000  0.500
O  0.500  0.500  0.000

Computed properties:
Uncorrected formation energy   -1.358 eV/atom

Material: K3YNb
Method: DFT, GGA-PBEsol
State: relaxed

Cell lengths 6.464, 6.464, 6.464 Å; angles 90.00, 90.00, 90.00 degrees
Element x y z (fractional)
K  0.000  0.000  0.500
K  0.000  0.500  0.000
K  0.500  0.000  0.000
Y  0.500  0.500  0.500
Nb  0.000  0.000  0.000

Computed properties:
ΔH_f (0 K)   1.662 eV/atom

Material: CuTe2Au
Method: DFT, GGA-PBEsol
State: relaxed

Cell lengths 4.182, 4.182, 6.659 Å; angles 107.70, 107.70, 55.01 degrees
Element x y z (fractional)
Cu  0.000  0.000  0.000
Te  0.305  0.305  0.769
Te  0.695  0.695  0.231
Au  0.500  0.500  0.500

Computed properties:
Uncorrected formation energy   -0.009 eV/atom

Material: AlTePO2
Method: DFT, GGA-PBEsol
State: relaxed

Cell lengths 3.947, 3.947, 5.252 Å; angles 90.00, 90.00, 90.00 degrees
Element x y z (fractional)
Al  0.000  0.000  0.000
Te  0.500  0.500  0.500
P  0.500  0.500  0.000
O  0.000  0.500  0.500
O  0.500  0.000  0.500

Computed properties:
Uncorrected formation energy   -0.267 eV/atom

Material: BaTe2Mo2H2O12
Method: DFT, GGA-PBEsol
State: relaxed

Cell lengths 7.328, 7.445, 18.493 Å; angles 90.00, 90.00, 90.00 degrees
Element x y z (fractional)
Ba  0.244  0.183  0.448
Ba  0.256  0.817  0.948
Ba  0.744  0.317  0.552
Ba  0.756  0.683  0.052
Te  0.013  0.861  0.601
Te  0.165  0.424  0.258
Te  0.335  0.576  0.758
Te  0.487  0.139  0.101
Te  0.513  0.639  0.399
Te  0.665  0.076  0.742
Te  0.835  0.924  0.242
Te  0.987  0.361  0.899
Mo  0.025  0.659  0.404
Mo  0.225  0.051  0.759
Mo  0.275  0.949  0.259
Mo  0.475  0.341  0.904
Mo  0.525  0.841  0.596
Mo  0.725  0.449  0.241
Mo  0.775  0.551  0.741
Mo  0.975  0.159  0.096
H  0.184  0.496  0.082
H  0.222  0.689  0.115
H  0.278  0.311  0.615
H  0.316  0.504  0.582
H  0.684  0.004  0.918
H  0.722  0.811  0.885
H  0.778  0.189  0.385
H  0.816  0.996  0.418
O  0.005  0.486  0.467
O  0.044  0.011  0.188
O  0.052  0.860  0.307
O  0.060  0.091  0.568
O  0.087  0.066  0.835
O  0.095  0.887  0.700
O  0.153  0.820  0.450
O  0.157  0.626  0.075
O  0.172  0.202  0.306
O  0.182  0.241  0.709
O  0.204  0.253  0.096
O  0.239  0.445  0.859
O  0.261  0.555  0.359
O  0.296  0.747  0.596
O  0.318  0.759  0.209
O  0.328  0.798  0.806
O  0.343  0.374  0.575
O  0.347  0.180  0.950
O  0.405  0.113  0.200
O  0.413  0.934  0.335
O  0.440  0.909  0.068
O  0.448  0.140  0.807
O  0.456  0.989  0.688
O  0.495  0.514  0.967
O  0.505  0.014  0.533
O  0.544  0.489  0.812
O  0.552  0.640  0.693
O  0.560  0.409  0.432
O  0.587  0.434  0.165
O  0.595  0.613  0.300
O  0.653  0.680  0.550
O  0.657  0.874  0.925
O  0.672  0.298  0.694
O  0.682  0.259  0.291
O  0.704  0.247  0.904
O  0.739  0.055  0.141
O  0.761  0.945  0.641
O  0.796  0.753  0.404
O  0.818  0.741  0.791
O  0.828  0.702  0.194
O  0.843  0.126  0.425
O  0.847  0.320  0.050
O  0.905  0.387  0.800
O  0.913  0.566  0.665
O  0.940  0.591  0.932
O  0.948  0.360  0.193
O  0.956  0.511  0.312
O  0.995  0.986  0.033

Computed properties:
Raw total energy   -539.21 eV/cell

Material: Hf3NbF
Method: DFT, GGA-PBEsol
State: relaxed

Cell lengths 4.460, 4.460, 4.460 Å; angles 90.00, 90.00, 90.00 degrees
Element x y z (fractional)
Hf  0.000  0.000  0.500
Hf  0.000  0.500  0.000
Hf  0.500  0.000  0.000
Nb  0.500  0.500  0.500
F  0.000  0.000  0.000

Computed properties:
Uncorrected formation energy   -0.469 eV/atom